# YTl3Os | the Alexandria database | meta-GGA SCAN | single point on PBEsol structure
data_YTl3Os
_symmetry_space_group_name_H-M 'P m -3 m'
_symmetry_Int_Tables_number 221
_symmetry_space_group_name_Hall '-P 4 2 3'
_cell_length_a 5.609
_cell_length_b 5.609
_cell_length_c 5.609
_cell_angle_alpha 90.00
_cell_angle_beta 90.00
_cell_angle_gamma 90.00
loop_
_atom_site_label
_atom_site_type_symbol
_atom_site_fract_x
_atom_site_fract_y
_atom_site_fract_z
_atom_site_occupancy
Y1 Y 0.000 0.000 0.000 1
Tl1 Tl 0.000 0.000 0.500 1
Os1 Os 0.500 0.500 0.500 1
# * calculated total energy: -307.84 eV per cell
# * E_form: 1.792 eV/atom

---

# ScTlO3 | the Alexandria database | meta-GGA SCAN | single point on PBEsol structure
data_ScTlO3
_symmetry_space_group_name_H-M 'P n m a'
_symmetry_Int_Tables_number 62
_symmetry_space_group_name_Hall '-P 2ac 2n'
_cell_length_a 5.608
_cell_length_b 8.046
_cell_length_c 5.473
_cell_angle_alpha 90.00
_cell_angle_beta 90.00
_cell_angle_gamma 90.00
loop_
_atom_site_label
_atom_site_type_symbol
_atom_site_fract_x
_atom_site_fract_y
_atom_site_fract_z
_atom_site_occupancy
Sc1 Sc 0.000 0.000 0.000 1
Tl1 Tl 0.052 0.250 0.484 1
O1 O 0.069 0.750 0.119 1
O2 O 0.188 0.566 0.684 1
# * calculated total energy: -466.16 eV per cell
# * uncorrected formation energy: -2.250 eV/atom

---

# Al2CdMo | the Alexandria database | meta-GGA SCAN | single point on PBEsol structure
data_Al2CdMo
_symmetry_space_group_name_H-M 'P 4/m m m'
_symmetry_Int_Tables_number 123
_symmetry_space_group_name_Hall '-P 4 2'
_cell_length_a 4.184
_cell_length_b 4.184
_cell_length_c 3.607
_cell_angle_alpha 90.00
_cell_angle_beta 90.00
_cell_angle_gamma 90.00
loop_
_atom_site_label
_atom_site_type_symbol
_atom_site_fract_x
_atom_site_fract_y
_atom_site_fract_z
_atom_site_occupancy
Al1 Al 0.000 0.500 0.000 1
Cd1 Cd 0.000 0.000 0.500 1
Mo1 Mo 0.500 0.500 0.500 1
# * calculated total energy: -80.85 eV per cell
# * E_form: -0.012 eV/atom

---

# BaCoP2 | the Alexandria database | meta-GGA SCAN | single point on PBEsol structure
data_BaCoP2
_symmetry_space_group_name_H-M 'C 1 m 1'
_symmetry_Int_Tables_number 8
_symmetry_space_group_name_Hall 'C -2y'
_cell_length_a 6.263
_cell_length_b 3.842
_cell_length_c 6.509
_cell_angle_alpha 90.00
_cell_angle_beta 107.70
_cell_angle_gamma 90.00
loop_
_atom_site_label
_atom_site_type_symbol
_atom_site_fract_x
_atom_site_fract_y
_atom_site_fract_z
_atom_site_occupancy
Ba1 Ba 0.000 0.000 0.000 1
Co1 Co 0.329 0.500 0.462 1
P1 P 0.220 0.000 0.603 1
P2 P 0.453 0.000 0.357 1
# * calculated total energy: -159.89 eV per cell
# * E_form: -0.574 eV/atom

---

# ScTeMo | the Alexandria database | meta-GGA SCAN | single point on PBEsol structure
data_ScTeMo
_symmetry_space_group_name_H-M 'F m m 2'
_symmetry_Int_Tables_number 42
_symmetry_space_group_name_Hall 'F 2 -2'
_cell_length_a 3.629
_cell_length_b 5.151
_cell_length_c 12.736
_cell_angle_alpha 90.00
_cell_angle_beta 90.00
_cell_angle_gamma 90.00
loop_
_atom_site_label
_atom_site_type_symbol
_atom_site_fract_x
_atom_site_fract_y
_atom_site_fract_z
_atom_site_occupancy
Sc1 Sc 0.000 0.000 0.000 1
Te1 Te 0.000 0.000 0.679 1
Mo1 Mo 0.000 0.000 0.338 1
# * calculated total energy: -343.53 eV per cell
# * uncorrected formation energy: 0.164 eV/atom

---

# KTl2Sb2 | the Alexandria database | meta-GGA SCAN | single point on PBEsol structure
data_KTl2Sb2
_symmetry_space_group_name_H-M 'P 4/m b m'
_symmetry_Int_Tables_number 127
_symmetry_space_group_name_Hall '-P 4 2ab'
_cell_length_a 9.190
_cell_length_b 9.190
_cell_length_c 3.592
_cell_angle_alpha 90.00
_cell_angle_beta 90.00
_cell_angle_gamma 90.00
loop_
_atom_site_label
_atom_site_type_symbol
_atom_site_fract_x
_atom_site_fract_y
_atom_site_fract_z
_atom_site_occupancy
K1 K 0.000 0.000 0.000 1
Tl1 Tl 0.131 0.369 0.000 1
Sb1 Sb 0.165 0.665 0.500 1
# * calculated total energy: -456.21 eV per cell
# * ΔE to the lowest computed polymorph: 49 meV per atom
# * uncorrected formation energy: -0.108 eV/atom

---

# ZrScW4 | the Alexandria database | meta-GGA SCAN | single point on PBEsol structure
data_ZrScW4
_symmetry_space_group_name_H-M 'F -4 3 m'
_symmetry_Int_Tables_number 216
_symmetry_space_group_name_Hall 'F -4 2 3'
_cell_length_a 7.561
_cell_length_b 7.561
_cell_length_c 7.561
_cell_angle_alpha 90.00
_cell_angle_beta 90.00
_cell_angle_gamma 90.00
loop_
_atom_site_label
_atom_site_type_symbol
_atom_site_fract_x
_atom_site_fract_y
_atom_site_fract_z
_atom_site_occupancy
Zr1 Zr 0.000 0.000 0.000 1
Sc1 Sc 0.250 0.250 0.250 1
W1 W 0.125 0.125 0.625 1
# * calculated total energy: -1296.49 eV per cell
# * E_form: -0.072 eV/atom

---

# Sc3SnHg | the Alexandria database | meta-GGA SCAN | single point on PBEsol structure
data_Sc3SnHg
_symmetry_space_group_name_H-M 'P m -3 m'
_symmetry_Int_Tables_number 221
_symmetry_space_group_name_Hall '-P 4 2 3'
_cell_length_a 5.156
_cell_length_b 5.156
_cell_length_c 5.156
_cell_angle_alpha 90.00
_cell_angle_beta 90.00
_cell_angle_gamma 90.00
loop_
_atom_site_label
_atom_site_type_symbol
_atom_site_fract_x
_atom_site_fract_y
_atom_site_fract_z
_atom_site_occupancy
Sc1 Sc 0.000 0.000 0.500 1
Sn1 Sn 0.500 0.500 0.500 1
Hg1 Hg 0.000 0.000 0.000 1
# * calculated total energy: -147.28 eV per cell
# * E_form: -0.097 eV/atom